Entry from Alexandria via LeMat-Bulk: an optimized crystal structure of Ag3SeS (PBE). Values from VASP.

Properties
E above lowest polymorph	427.1	meV/atom
formation energy without anion corrections	0.43	eV/atom
VASP energy	-2.806	eV per atom
symmetry	Pm-3m (221)
spin magnetization	1.00	μB per formula unit

```
&SYSTEM
  ibrav = 0, nat = 5, ntyp = 3
/
ATOMIC_SPECIES
Ag 107.87 Ag.upf
Se 78.96 Se.upf
S 32.06 S.upf
CELL_PARAMETERS angstrom
5.0008 0.0000 0.0000
0.0000 5.0008 0.0000
0.0000 0.0000 5.0008
ATOMIC_POSITIONS crystal
Ag 0.0000 0.0000 0.5000
Ag 0.0000 0.5000 0.0000
Ag 0.5000 0.0000 0.0000
Se 0.0000 0.0000 0.0000
S 0.5000 0.5000 0.5000
```